1.
Below is an optimized crystal structure of BaRuAu2, with properties calculated at the PBE-GGA level.

a = 7.9918 Å, b = 4.6158 Å, c = 6.2241 Å
α = 90.00°, β = 115.45°, γ = 90.00°
Space group C2/m (No. 12)
Asymmetric unit:
Ba  0.0000  0.0000  0.0000 x2
Ru  0.0000  0.5000  0.5000 x2
Au  0.1966  0.0000  0.5894 x4

DFT formation energy = -0.05 eV per atom
electronic total energy = -4.49 eV/atom
spin magnetization = 0.0 μB/f.u.
DOS at the Fermi energy = 7.4 states/eV/cell

2.
Below is an optimized crystal structure of BaRuAu2, with properties calculated at the PBE-GGA level.

a = 4.5079 Å, b = 5.9102 Å, c = 7.9026 Å
α = 90.00°, β = 90.00°, γ = 90.00°
Space group Immm (No. 71)
Asymmetric unit:
Ba  0.0000  0.0000  0.0000 x2
Ru  0.0000  0.0000  0.5000 x2
Au  0.0000  0.5000  0.1865 x4

DFT formation energy = 0.27 eV per atom
electronic total energy = -4.17 eV/atom
spin magnetization = 1.6 μB/f.u.
DOS at the Fermi energy = 7.2 states/eV/cell

3.
Below is an optimized crystal structure of Ba4RuAu, with properties calculated at the PBE-GGA level.

a = 9.6653 Å, b = 9.6653 Å, c = 9.6653 Å
α = 90.00°, β = 90.00°, γ = 90.00°
Space group F-43m (No. 216)
Asymmetric unit:
Ba  0.1246  0.1246  0.1246 x16
Ru  0.2500  0.2500  0.7500 x4
Au  0.0000  0.0000  0.5000 x4

DFT formation energy = 0.94 eV per atom
electronic total energy = -2.43 eV/atom
spin magnetization = 0.3 μB/f.u.
DOS at the Fermi energy = 30.9 states/eV/cell

4.
Below is an optimized crystal structure of Ba8RuAu2, with properties calculated at the PBE-GGA level.

a = 15.3425 Å, b = 8.3549 Å, c = 8.5898 Å
α = 90.00°, β = 90.19°, γ = 90.00°
Space group C2/m (No. 12)
Asymmetric unit:
Ba  0.0386  0.2426  0.2562 x8
Ba  0.1932  0.0000  0.6104 x4
Ba  0.2069  0.5000  0.8996 x4
Ru  0.0000  0.0000  0.5000 x2
Au  0.0979  0.0000  0.9553 x4

DFT formation energy = -0.18 eV per atom
electronic total energy = -3.02 eV/atom
spin magnetization = 0.0 μB/f.u.
DOS at the Fermi energy = 16.5 states/eV/cell